## Na6MnO4 (GGA+U)

Data for a geometry-optimized Na6MnO4 structure.

Structure (extended XYZ):
```
22
Lattice="-4.194 -1.917 -3.786 2.860 -7.207 0.481 -5.524 2.325 4.943" Properties=species:S:1:pos:R:3 pbc="T T T"
Na -5.257 -3.711 -0.359
Na -0.390 -4.389 -0.706
Na -6.350 -0.955 -0.543
Na -7.369 -2.822 1.531
Na -1.409 -6.255 1.368
Na -2.502 -3.500 1.184
Na -1.628 -4.574 3.881
Na -4.895 -4.202 2.611
Na -6.558 -0.012 2.331
Na -3.346 -1.364 -0.543
Na -0.079 -1.735 0.728
Na 1.584 -5.926 1.008
Mn -3.794 -1.339 2.495
Mn -3.096 -5.475 -0.885
O -5.231 -1.996 1.197
O -0.339 -4.215 1.603
O -3.799 -5.622 1.079
O -3.270 -2.882 3.806
O -4.526 0.283 3.595
O -1.374 -6.643 -1.091
O -2.630 -3.479 -1.303
O -2.100 -0.738 1.425
```

ρ = 2736 kg/m³
offset from the most stable computed form = 0.07 eV per formula unit
final energy = -0.3309 Ry/atom